# Pr2MgSi3Pt12

Pr2MgSi3Pt12 after structural relaxation (PBE-GGA, Alexandria via LeMat-Bulk).

Properties
The value obtained for the uncorrected formation energy is -0.527 eV/atom. Its crystal system is trigonal.

POSCAR file:
```
Pr2MgSi3Pt12
1.0
7.6260 -0.3816 -0.2707
3.4343 6.8196 -0.2707
3.4343 1.9991 6.5257
Pr Pt Si Mg
2 12 3 1
Cartesian
8.8363 5.1435 3.6482
5.6583 3.2936 2.3361
10.8790 3.9649 5.3209
3.6157 2.1046 4.0014
3.6157 4.4722 0.6635
5.6744 0.9354 0.6635
5.2250 5.6822 4.0303
7.5213 1.7372 4.0303
7.5213 4.3780 0.3072
10.8790 6.3325 1.9829
6.9733 6.6998 1.9540
6.9733 4.0591 5.6772
9.2696 2.7549 1.9540
8.8202 7.5017 5.3209
1.7172 3.4098 -0.1353
1.7172 0.9995 3.2628
3.8130 -0.1908 -0.1353
0.0000 0.0000 0.0000
```

# Pr3MgSi2Pt9

Pr3MgSi2Pt9 after structural relaxation (PBE-GGA, Alexandria via LeMat-Bulk).

Properties
The value obtained for the uncorrected formation energy is -0.801 eV/atom. Its crystal system is trigonal.

POSCAR file:
```
Pr3MgSi2Pt9
1.0
5.7963 0.0000 0.0000
-2.8981 5.0197 0.0000
0.0000 0.0000 10.7430
Pt Pr Si Mg
9 3 2 1
Cartesian
2.8981 3.4041 7.4339
2.8981 0.0000 0.0000
-1.4491 2.5099 0.0000
-1.4990 4.2119 3.3091
1.4491 2.5099 0.0000
4.3971 0.8078 7.4339
0.0000 1.6156 3.3091
1.4990 4.2119 3.3091
1.3992 0.8078 7.4339
0.0000 3.3465 6.4303
0.0000 0.0000 0.0000
2.8981 1.6732 4.3127
0.0000 3.3465 1.7194
2.8981 1.6732 9.0236
0.0000 0.0000 5.3715
```

# Pr2Mg2Si4Pt

Pr2Mg2Si4Pt after structural relaxation (PBE-GGA, Alexandria via LeMat-Bulk).

Properties
The value obtained for the uncorrected formation energy is -0.483 eV/atom. Its crystal system is tetragonal.

POSCAR file:
```
Pr2Mg2Si4Pt
1.0
6.2988 -0.2977 -0.4697
-2.8028 5.6487 0.4697
-2.8028 -1.9864 5.3088
Si Mg Pr Pt
4 2 2 1
Cartesian
-1.2328 2.5198 3.9758
-2.8028 3.5455 1.8027
-2.8028 0.1168 3.9758
1.9261 0.8448 1.3330
-3.9604 2.5875 4.0825
-1.6452 1.0749 1.6959
0.3466 3.5911 1.4446
0.3466 -0.2265 3.8641
0.0000 0.0000 0.0000
```